CrTc4Mo after structural relaxation. Source: the Alexandria database, functional PBE-GGA.

Geometry as POSCAR:
```
CrTc4Mo
1.0
4.406 -1.389 2.107
2.387 3.141 3.196
0.211 -1.096 4.953
Tc Mo Cr
4 1 1
direct
0.624 0.624 0.624
0.128 0.624 0.624
0.624 0.128 0.624
0.624 0.624 0.128
0.000 0.000 0.000
0.250 0.250 0.250
```

For the total energy, the calculation gives -10.03 eV per atom. The calculation puts the density of states at the Fermi level at 0.8254 states/eV/atom.